Entry 1:
{"formula": "HfNiAgSn", "functional": "PBE", "state": "relaxed", "cell": [[0.000, 3.297, 3.297], [3.297, 0.000, 3.297], [3.297, 3.297, 0.000]], "species": ["Hf", "Ni", "Ag", "Sn"], "frac_coords": [[0.000, 0.000, 0.000], [0.500, 0.500, 0.500], [0.750, 0.750, 0.750], [0.250, 0.250, 0.250]]}

=====

Entry 2:
{"formula": "NbCdCuB", "functional": "PBE", "state": "relaxed", "cell": [[0.000, 3.065, 3.065], [3.065, 0.000, 3.065], [3.065, 3.065, 0.000]], "species": ["Nb", "Cd", "Cu", "B"], "frac_coords": [[0.000, 0.000, 0.000], [0.750, 0.750, 0.750], [0.500, 0.500, 0.500], [0.250, 0.250, 0.250]]}

=====

Entry 3:
{"formula": "PuPaAg", "functional": "PBE", "state": "relaxed", "cell": [[0.000, 3.325, 3.325], [3.325, 0.000, 3.325], [3.325, 3.325, 0.000]], "species": ["Pu", "Pa", "Ag"], "frac_coords": [[0.000, 0.000, 0.000], [0.250, 0.250, 0.250], [0.750, 0.750, 0.750]], "formation_enthalpy_0k_mev_per_atom": 440}

=====

Entry 4:
{"formula": "HoSc2Al3CuGe2", "functional": "PBE", "state": "relaxed", "cell": [[4.043, 0.000, 0.000], [0.000, 5.945, 3.395], [0.000, -5.945, 3.395]], "species": ["Ho", "Sc", "Sc", "Al", "Al", "Al", "Cu", "Ge", "Ge"], "frac_coords": [[0.000, 0.000, 0.000], [0.000, 0.192, 0.596], [0.000, 0.596, 0.192], [0.500, 0.358, 0.358], [0.500, 0.591, 0.828], [0.500, 0.828, 0.591], [0.000, 0.583, 0.583], [0.500, 0.267, 0.924], [0.500, 0.924, 0.267]]}

=====

Entry 5:
{"formula": "LaHoFe", "functional": "PBE", "state": "relaxed", "cell": [[0.000, 3.350, 3.350], [3.350, 0.000, 3.350], [3.350, 3.350, 0.000]], "species": ["La", "Ho", "Fe"], "frac_coords": [[0.000, 0.000, 0.000], [0.500, 0.500, 0.500], [0.750, 0.750, 0.750]], "formation_enthalpy_0k_mev_per_atom": 206}

=====

Entry 6:
{"formula": "Lu4SiSN2", "functional": "PBE", "state": "relaxed", "cell": [[3.452, 0.000, 0.000], [-1.726, 2.990, 0.000], [0.000, 0.000, 13.020]], "species": ["Lu", "Lu", "Lu", "Lu", "Si", "S", "N", "N"], "frac_coords": [[0.000, 0.000, 0.141], [0.000, 0.000, 0.859], [0.667, 0.333, 0.338], [0.667, 0.333, 0.662], [0.000, 0.000, 0.500], [0.667, 0.333, 0.000], [0.333, 0.667, 0.235], [0.333, 0.667, 0.765]]}

=====

Entry 7:
{"formula": "AgF2", "functional": "PBE", "state": "relaxed", "cell": [[5.532, 0.000, 0.000], [0.000, 8.447, 0.000], [0.000, 0.000, 5.859]], "species": ["Ag", "Ag", "Ag", "Ag", "Ag", "Ag", "Ag", "Ag", "F", "F", "F", "F", "F", "F", "F", "F", "F", "F", "F", "F", "F", "F", "F", "F"], "frac_coords": [[0.204, 0.127, 0.053], [0.204, 0.873, 0.553], [0.296, 0.373, 0.553], [0.296, 0.627, 0.053], [0.704, 0.373, 0.947], [0.704, 0.627, 0.447], [0.796, 0.127, 0.447], [0.796, 0.873, 0.947], [0.000, 0.146, 0.750], [0.000, 0.291, 0.250], [0.000, 0.709, 0.750], [0.000, 0.854, 0.250], [0.179, 0.418, 0.894], [0.179, 0.582, 0.394], [0.321, 0.082, 0.394], [0.321, 0.918, 0.894], [0.500, 0.209, 0.750], [0.500, 0.354, 0.250], [0.500, 0.646, 0.750], [0.500, 0.791, 0.250], [0.679, 0.082, 0.106], [0.679, 0.918, 0.606], [0.821, 0.418, 0.606], [0.821, 0.582, 0.106]]}

=====

Entry 8:
{"formula": "Cu2Se", "functional": "PBE", "state": "relaxed", "cell": [[2.749, -2.725, 0.000], [2.749, 2.725, 0.000], [-0.147, 0.000, 5.979]], "species": ["Cu", "Cu", "Cu", "Cu", "Se", "Se"], "frac_coords": [[0.247, 0.753, 0.000], [0.263, 0.263, 0.295], [0.737, 0.737, 0.705], [0.753, 0.247, 0.000], [0.245, 0.245, 0.710], [0.755, 0.755, 0.290]]}

=====

Entry 9:
{"formula": "TbGeAuSe2S", "functional": "PBE", "state": "relaxed", "cell": [[1.979, -6.638, 0.000], [1.979, 6.638, 0.000], [0.000, 0.000, 10.302]], "species": ["Tb", "Tb", "Ge", "Ge", "Au", "Au", "Se", "Se", "Se", "Se", "S", "S"], "frac_coords": [[0.000, 0.000, 0.000], [0.000, 0.000, 0.500], [0.248, 0.752, 0.750], [0.752, 0.248, 0.250], [0.475, 0.525, 0.250], [0.525, 0.475, 0.750], [0.346, 0.654, 0.062], [0.346, 0.654, 0.438], [0.654, 0.346, 0.562], [0.654, 0.346, 0.938], [0.101, 0.899, 0.250], [0.899, 0.101, 0.750]]}

=====

Entry 10:
{"formula": "TbNiGe", "functional": "PBE", "state": "relaxed", "cell": [[6.986, 0.000, 0.000], [0.000, 4.261, 0.000], [0.000, 0.000, 7.254]], "species": ["Tb", "Tb", "Tb", "Tb", "Ni", "Ni", "Ni", "Ni", "Ge", "Ge", "Ge", "Ge"], "frac_coords": [[0.011, 0.250, 0.204], [0.489, 0.750, 0.704], [0.511, 0.250, 0.296], [0.989, 0.750, 0.796], [0.187, 0.750, 0.421], [0.313, 0.250, 0.921], [0.687, 0.750, 0.079], [0.813, 0.250, 0.579], [0.195, 0.250, 0.591], [0.305, 0.750, 0.091], [0.695, 0.250, 0.909], [0.805, 0.750, 0.409]]}

=====

Entry 11:
{"formula": "Fe2Ag6Br", "functional": "PBE", "state": "relaxed", "cell": [[4.701, 0.000, 0.000], [0.000, 4.701, 0.000], [0.000, 0.000, 10.943]], "species": ["Fe", "Fe", "Ag", "Ag", "Ag", "Ag", "Ag", "Ag", "Br"], "frac_coords": [[0.000, 0.000, 0.232], [0.000, 0.000, 0.768], [0.000, 0.000, 0.000], [0.000, 0.000, 0.500], [0.000, 0.500, 0.335], [0.000, 0.500, 0.665], [0.500, 0.000, 0.335], [0.500, 0.000, 0.665], [0.500, 0.500, 0.500]]}

=====

Entry 12:
{"formula": "HfCu2As", "functional": "PBE", "state": "relaxed", "cell": [[0.000, 3.143, 3.143], [3.143, 0.000, 3.143], [3.143, 3.143, 0.000]], "species": ["Hf", "Cu", "Cu", "As"], "frac_coords": [[0.000, 0.000, 0.000], [0.250, 0.250, 0.250], [0.500, 0.500, 0.500], [0.750, 0.750, 0.750]]}

=====

Number 1: total energy -5.598 eV/atom. Number 2: total energy -4.534 eV/atom. Number 3: total energy -8.376 eV/atom. Number 4: total energy -5.238 eV/atom. Number 5: total energy -5.730 eV/atom. Number 6: total energy -7.036 eV/atom. Number 7: total energy -3.155 eV/atom. Number 8: total energy -3.652 eV/atom. Number 9: total energy -4.668 eV/atom. Number 10: total energy -5.734 eV/atom. Number 11: total energy -3.066 eV/atom. Number 12: total energy -5.583 eV/atom.